Entry 1:
# ZrGaPO2

ZrGaPO2 after structural relaxation (GGA-PBE, the Alexandria database).

Summary:
Calculated volume, Å³/atom: 14.1
Energy relative to the elements, uncorrected, meV/atom: -959
Mass density, g/cm³: 5.3
E above lowest polymorph, meV per atom: 394
VASP energy, hartree per atom: -0.233
Space-group type: P4/mmm (123)

Cell lengths 3.801, 3.801, 4.869 Å; angles 90.00, 90.00, 90.00 degrees
Positions (direct):
Zr (0.000, 0.000, 0.000)
Ga (0.500, 0.500, 0.500)
P (0.500, 0.500, 0.000)
O (0.000, 0.500, 0.500)
O (0.500, 0.000, 0.500)

---

Entry 2:
# CaAcCu10

CaAcCu10 after structural relaxation (GGA-PBE, the Alexandria database).

Summary:
Calculated volume, Å³/atom: 16.0
Mass density, g/cm³: 7.8
VASP energy, hartree per atom: -0.149
Space-group type: Pmmm (47)
ΔE_f, eV per atom: -0.123

Cell lengths 4.079, 5.223, 8.986 Å; angles 90.00, 90.00, 90.00 degrees
Positions (direct):
Ca (0.000, 0.000, 0.000)
Ac (0.000, 0.500, 0.500)
Cu (0.000, 0.000, 0.324)
Cu (0.000, 0.000, 0.676)
Cu (0.000, 0.500, 0.158)
Cu (0.000, 0.500, 0.842)
Cu (0.500, 0.000, 0.500)
Cu (0.500, 0.248, 0.245)
Cu (0.500, 0.248, 0.755)
Cu (0.500, 0.500, 0.000)
Cu (0.500, 0.752, 0.245)
Cu (0.500, 0.752, 0.755)

---

Entry 3:
# PbIO4

PbIO4 after structural relaxation (GGA-PBE, the Alexandria database).

Summary:
Calculated volume, Å³/atom: 15.6
Energy relative to the elements, uncorrected, meV/atom: -468
Mass density, g/cm³: 7.1
VASP energy, hartree per atom: -0.171
Space-group type: P2_1/c (14)

Cell lengths 6.220, 5.282, 5.885 Å; angles 90.00, 104.54, 90.00 degrees
Positions (direct):
Pb (0.000, 0.000, 0.000)
Pb (0.000, 0.500, 0.500)
I (0.500, 0.000, 0.500)
I (0.500, 0.500, 0.000)
O (0.201, 0.136, 0.414)
O (0.201, 0.364, 0.914)
O (0.386, 0.744, 0.716)
O (0.386, 0.756, 0.216)
O (0.614, 0.244, 0.784)
O (0.614, 0.256, 0.284)
O (0.799, 0.636, 0.086)
O (0.799, 0.864, 0.586)

---

Entry 4:
# PuPaFeCo

PuPaFeCo after structural relaxation (GGA-PBE, the Alexandria database).

Summary:
Calculated volume, Å³/atom: 18.1
Mass density, g/cm³: 13.5
VASP energy, hartree per atom: -0.362
Space-group type: F-43m (216)
ΔE_f, eV per atom: 0.009

Cell lengths 4.676, 4.676, 4.676 Å; angles 60.00, 60.00, 60.00 degrees
Positions (direct):
Pu (0.000, 0.000, 0.000)
Pa (0.500, 0.500, 0.500)
Fe (0.250, 0.250, 0.250)
Co (0.750, 0.750, 0.750)

---

Entry 5:
# KNiMoP2

KNiMoP2 after structural relaxation (GGA-PBE, the Alexandria database).

Summary:
Calculated volume, Å³/atom: 20.5
Mass density, g/cm³: 4.1
VASP energy, hartree per atom: -0.179
Space-group type: P4/mmm (123)
ΔE_f, eV per atom: 0.835

Cell lengths 4.534, 4.534, 4.981 Å; angles 90.00, 90.00, 90.00 degrees
Positions (direct):
K (0.000, 0.000, 0.000)
Ni (0.500, 0.500, 0.500)
Mo (0.500, 0.500, 0.000)
P (0.000, 0.500, 0.500)
P (0.500, 0.000, 0.500)

---

Entry 6:
# NaMgSn3

NaMgSn3 after structural relaxation (GGA-PBE, the Alexandria database).

Summary:
Calculated volume, Å³/atom: 33.0
Mass density, g/cm³: 4.1
E above lowest polymorph, meV per atom: 331
VASP energy, hartree per atom: -0.101
Space-group type: Pm-3m (221)
ΔE_f, eV per atom: 0.248

Cell lengths 5.485, 5.485, 5.485 Å; angles 90.00, 90.00, 90.00 degrees
Positions (direct):
Na (0.000, 0.000, 0.000)
Mg (0.500, 0.500, 0.500)
Sn (0.000, 0.500, 0.500)
Sn (0.500, 0.000, 0.500)
Sn (0.500, 0.500, 0.000)

---

Repeat the sixth record exactly.
# NaMgSn3

NaMgSn3 after structural relaxation (GGA-PBE, the Alexandria database).

Summary:
Calculated volume, Å³/atom: 33.0
Mass density, g/cm³: 4.1
E above lowest polymorph, meV per atom: 331
VASP energy, hartree per atom: -0.101
Space-group type: Pm-3m (221)
ΔE_f, eV per atom: 0.248

Cell lengths 5.485, 5.485, 5.485 Å; angles 90.00, 90.00, 90.00 degrees
Positions (direct):
Na (0.000, 0.000, 0.000)
Mg (0.500, 0.500, 0.500)
Sn (0.000, 0.500, 0.500)
Sn (0.500, 0.000, 0.500)
Sn (0.500, 0.500, 0.000)